1.
This record from the Alexandria database describes LaSn4Bi after structural relaxation. The functional is GGA-PBE.

The structure in CIF format:
```
data_LaSn4Bi
_chemical_formula_sum 'La4 Sn16 Bi4'
_space_group_name_H-M_alt 'F -4 3 m'
_space_group_IT_number 216
_space_group_name_Hall 'F -4 2 3'
_cell_length_a 8.849
_cell_length_b 8.849
_cell_length_c 8.849
_cell_angle_alpha 90.00
_cell_angle_beta 90.00
_cell_angle_gamma 90.00
loop_
_atom_site_label
_atom_site_type_symbol
_atom_site_fract_x
_atom_site_fract_y
_atom_site_fract_z
La1 La 0.000 0.000 0.000
Sn1 Sn 0.125 0.125 0.625
Bi1 Bi 0.250 0.250 0.250
```

***

2.
This record from the Alexandria database describes VIr3Pt after structural relaxation. The functional is GGA-PBE.

The structure in CIF format:
```
data_VIr3Pt
_chemical_formula_sum 'V1 Ir3 Pt1'
_space_group_name_H-M_alt 'P m -3 m'
_space_group_IT_number 221
_space_group_name_Hall '-P 4 2 3'
_cell_length_a 4.778
_cell_length_b 4.778
_cell_length_c 4.778
_cell_angle_alpha 90.00
_cell_angle_beta 90.00
_cell_angle_gamma 90.00
loop_
_atom_site_label
_atom_site_type_symbol
_atom_site_fract_x
_atom_site_fract_y
_atom_site_fract_z
V1 V 0.000 0.000 0.000
Ir1 Ir 0.000 0.500 0.500
Pt1 Pt 0.500 0.500 0.500
```

Distance to the lowest polymorph of the same formula (meV per atom): 728

***

no.,ΔH_f (0 K) (kJ per mole of atoms)
1,-24.5
2,195.9